A plane-wave DFT calculation with GGA+U was carried out for crystalline Re3WO at its relaxed geometry.

Results
total magnetic moment: 0.0 μB per cell
space group: No. 221
raw total energy: -0.3463 hartree per atom
Fermi-level density of states: 2.05 states/eV/f.u.

Cell lengths 4.104, 4.104, 4.104 Å; angles 90.00, 90.00, 90.00 degrees
Atoms (fractional coordinates):
Re  0.000  0.500  0.000
Re  0.000  0.000  0.500
Re  0.500  0.000  0.000
O  0.000  0.000  0.000
W  0.500  0.500  0.500